No. 1
VASP calculation (PBE-GGA) on crystalline Ce2Zn2GaPd5 at its relaxed geometry.

abc: 10.335 10.335 3.387
angles: 90.00 90.00 90.00
Space group P4/mbm (No. 127)
Symmetry-distinct sites (fractional):
Ce 0.175 0.325 0.000 x4
Zn 0.128 0.628 0.000 x4
Ga 0.000 0.000 0.000 x2
Pd 0.000 0.500 0.500 x2
Pd 0.056 0.806 0.500 x8

uncorrected energy = -0.362 Ry per atom
crystal system = tetragonal
M_tot = 2.2 μB per formula unit


No. 2
VASP calculation (PBE-GGA) on crystalline CeZn8Ga2Pd at its relaxed geometry.

abc: 7.649 4.859 11.791
angles: 90.00 94.17 90.00
Space group C2/m (No. 12)
Symmetry-distinct sites (fractional):
Ce 0.000 0.000 0.000 x2
Zn 0.016 0.246 0.694 x8
Zn 0.168 0.500 0.507 x4
Zn 0.197 0.500 0.155 x4
Ga 0.153 0.500 0.873 x4
Pd 0.000 0.000 0.500 x2

uncorrected energy = -0.180 Ry per atom
crystal system = monoclinic
M_tot = 0.5 μB per formula unit


No. 3
VASP calculation (PBE-GGA) on crystalline CeZnGa2Pd5 at its relaxed geometry.

abc: 4.118 4.118 9.486
angles: 90.00 90.00 90.00
Space group P4/mmm (No. 123)
Symmetry-distinct sites (fractional):
Ce 0.000 0.000 0.000 x1
Zn 0.000 0.000 0.500 x1
Ga 0.500 0.500 0.373 x2
Pd 0.000 0.500 0.223 x4
Pd 0.500 0.500 0.000 x1

uncorrected energy = -0.357 Ry per atom
crystal system = tetragonal
M_tot = 0.5 μB per formula unit


No. 4
VASP calculation (PBE-GGA) on crystalline CeZnGaPd3 at its relaxed geometry.

abc: 6.454 12.359 5.762
angles: 90.00 90.00 90.00
Space group Cmcm (No. 63)
Symmetry-distinct sites (fractional):
Ce 0.000 0.196 0.250 x4
Zn 0.000 0.139 0.750 x4
Ga 0.000 0.437 0.250 x4
Pd 0.000 0.343 0.750 x4
Pd 0.211 0.000 0.000 x8

uncorrected energy = -0.352 Ry per atom
crystal system = orthorhombic
M_tot = 0.6 μB per formula unit


No. 5
VASP calculation (PBE-GGA) on crystalline Ce3PmGa2 at its relaxed geometry.

abc: 18.110 4.532 8.023
angles: 90.00 115.95 90.00
Space group C2/m (No. 12)
Symmetry-distinct sites (fractional):
Ce 0.064 0.000 0.457 x4
Ce 0.130 0.500 0.688 x4
Ce 0.203 0.500 0.429 x4
Pm 0.112 0.000 0.042 x4
Ga 0.014 0.500 0.178 x4
Ga 0.250 0.000 0.891 x4

uncorrected energy = -0.377 Ry per atom
crystal system = monoclinic
M_tot = 0.0 μB per formula unit


No. 6
VASP calculation (PBE-GGA) on crystalline CePmGa at its relaxed geometry.

abc: 7.117 7.117 7.117
angles: 90.00 90.00 90.00
Space group F-43m (No. 216)
Symmetry-distinct sites (fractional):
Ce 0.000 0.000 0.000 x4
Pm 0.000 0.000 0.500 x4
Ga 0.250 0.250 0.250 x4

uncorrected energy = -0.347 Ry per atom
crystal system = cubic
M_tot = 1.2 μB per formula unit
energy above the lowest structure with this stoichiometry = 0.109 eV per atom